A geometry-optimized Tb5ErSc2 structure. Source: Alexandria via LeMat-Bulk, functional PBE.

Lattice parameters (Å, degrees): 8.823 8.823 12.393 90.00 90.00 90.00
Space group I4/mcm (No. 140)
Symmetry-distinct sites (fractional):
Tb (0.000, 0.000, 0.000) (multiplicity 4)
Tb (0.151, 0.349, 0.159) (multiplicity 16)
Er (0.000, 0.000, 0.250) (multiplicity 4)
Sc (0.143, 0.357, 0.500) (multiplicity 8)

Values from the calculation:
* ρ: 7.24 g/cm3
* total moment: 0.0 μB/f.u.
* energy of formation from the pure elements: 111.8 meV/atom
* E above lowest polymorph: 82.8 meV per atom

---

A geometry-optimized KV3Cl12 structure. Source: Alexandria via LeMat-Bulk, functional PBE.

Lattice parameters (Å, degrees): 12.6015 12.6015 8.4996 90.00 90.00 120.00
Space group P6_3/m (No. 176)
Symmetry-distinct sites (fractional):
K (0.3333, 0.6667, 0.2500) (multiplicity 2)
V (0.0976, 0.7128, 0.7500) (multiplicity 6)
Cl (0.0069, 0.1947, 0.2500) (multiplicity 6)
Cl (0.0225, 0.4857, 0.2500) (multiplicity 6)
Cl (0.2135, 0.7659, 0.5413) (multiplicity 12)

Values from the calculation:
* ρ: 1.75 g/cm3
* total moment: 4.0 μB/f.u.
* uncorrected formation energy: -28.97 kcal/mol of atoms